# 1
# GGA-PBE TbNdSm6, relaxed
data_TbNdSm6
_chemical_formula_sum 'Tb1 Nd1 Sm6'
_cell_length_a 6.516
_cell_length_b 6.516
_cell_length_c 6.616
_cell_angle_alpha 95.59
_cell_angle_beta 95.59
_cell_angle_gamma 92.41
_space_group_name_H-M_alt 'P 1'
_space_group_IT_number 1
loop_
_space_group_symop_operation_xyz
'x,y,z'
loop_
_atom_site_label
_atom_site_type_symbol
_atom_site_fract_x
_atom_site_fract_y
_atom_site_fract_z
_atom_site_occupancy
Tb1 Tb 0.000 0.000 0.000 1
Nd1 Nd 0.000 0.000 0.500 1
Sm1 Sm 0.155 0.516 0.793 1
Sm2 Sm 0.346 0.346 0.307 1
Sm3 Sm 0.484 0.845 0.207 1
Sm4 Sm 0.516 0.155 0.793 1
Sm5 Sm 0.654 0.654 0.693 1
Sm6 Sm 0.845 0.484 0.207 1
# SG   C2/m, No. 12
# Relative energy among the computed polymorphs   132 meV per atom
# Energy   -4.56 eV per atom



# 2
# GGA-PBE Zn2FeSe, relaxed
data_Zn2FeSe
_chemical_formula_sum 'Zn2 Fe1 Se1'
_cell_length_a 4.441
_cell_length_b 4.441
_cell_length_c 4.441
_cell_angle_alpha 60.00
_cell_angle_beta 60.00
_cell_angle_gamma 60.00
_space_group_name_H-M_alt 'P 1'
_space_group_IT_number 1
loop_
_space_group_symop_operation_xyz
'x,y,z'
loop_
_atom_site_label
_atom_site_type_symbol
_atom_site_fract_x
_atom_site_fract_y
_atom_site_fract_z
_atom_site_occupancy
Zn1 Zn 0.000 0.000 0.000 1
Zn2 Zn 0.250 0.250 0.250 1
Fe1 Fe 0.500 0.500 0.500 1
Se1 Se 0.750 0.750 0.750 1
# SG   F-43m, No. 216
# Energy   -3.29 eV per atom



# 3
# GGA-PBE RbH2Se, relaxed
data_RbH2Se
_chemical_formula_sum 'Rb1 H2 Se1'
_cell_length_a 3.950
_cell_length_b 4.605
_cell_length_c 4.412
_cell_angle_alpha 90.00
_cell_angle_beta 92.03
_cell_angle_gamma 90.00
_space_group_name_H-M_alt 'P 1'
_space_group_IT_number 1
loop_
_space_group_symop_operation_xyz
'x,y,z'
loop_
_atom_site_label
_atom_site_type_symbol
_atom_site_fract_x
_atom_site_fract_y
_atom_site_fract_z
_atom_site_occupancy
Rb1 Rb 0.000 0.000 0.000 1
H1 H 0.195 0.500 0.577 1
H2 H 0.507 0.000 0.493 1
Se1 Se 0.551 0.500 0.476 1
# SG   Pm, No. 6
# Relative energy among the computed polymorphs   262 meV per atom
# Energy   -2.94 eV per atom



# 4
# GGA-PBE CeTmCoRu, relaxed
data_CeTmCoRu
_chemical_formula_sum 'Ce1 Tm1 Co1 Ru1'
_cell_length_a 4.776
_cell_length_b 4.776
_cell_length_c 4.776
_cell_angle_alpha 60.00
_cell_angle_beta 60.00
_cell_angle_gamma 60.00
_space_group_name_H-M_alt 'P 1'
_space_group_IT_number 1
loop_
_space_group_symop_operation_xyz
'x,y,z'
loop_
_atom_site_label
_atom_site_type_symbol
_atom_site_fract_x
_atom_site_fract_y
_atom_site_fract_z
_atom_site_occupancy
Ce1 Ce 0.000 0.000 0.000 1
Tm1 Tm 0.500 0.500 0.500 1
Co1 Co 0.750 0.750 0.750 1
Ru1 Ru 0.250 0.250 0.250 1
# SG   F-43m, No. 216
# Relative energy among the computed polymorphs   22 meV per atom
# Energy   -6.98 eV per atom



# 5
# GGA-PBE NaMg2Sc, relaxed
data_NaMg2Sc
_chemical_formula_sum 'Na1 Mg2 Sc1'
_cell_length_a 3.260
_cell_length_b 3.260
_cell_length_c 9.715
_cell_angle_alpha 90.00
_cell_angle_beta 90.00
_cell_angle_gamma 90.00
_space_group_name_H-M_alt 'P 1'
_space_group_IT_number 1
loop_
_space_group_symop_operation_xyz
'x,y,z'
loop_
_atom_site_label
_atom_site_type_symbol
_atom_site_fract_x
_atom_site_fract_y
_atom_site_fract_z
_atom_site_occupancy
Na1 Na 0.000 0.000 0.000 1
Mg1 Mg 0.500 0.500 0.272 1
Mg2 Mg 0.500 0.500 0.728 1
Sc1 Sc 0.000 0.000 0.500 1
# SG   P4/mmm, No. 123
# Relative energy among the computed polymorphs   0 meV per atom
# Energy   -2.66 eV per atom



# 6
# GGA-PBE SmMgCdPd, relaxed
data_SmMgCdPd
_chemical_formula_sum 'Sm1 Mg1 Cd1 Pd1'
_cell_length_a 4.995
_cell_length_b 4.995
_cell_length_c 4.995
_cell_angle_alpha 60.00
_cell_angle_beta 60.00
_cell_angle_gamma 60.00
_space_group_name_H-M_alt 'P 1'
_space_group_IT_number 1
loop_
_space_group_symop_operation_xyz
'x,y,z'
loop_
_atom_site_label
_atom_site_type_symbol
_atom_site_fract_x
_atom_site_fract_y
_atom_site_fract_z
_atom_site_occupancy
Sm1 Sm 0.000 0.000 0.000 1
Mg1 Mg 0.500 0.500 0.500 1
Cd1 Cd 0.250 0.250 0.250 1
Pd1 Pd 0.750 0.750 0.750 1
# SG   F-43m, No. 216
# Energy   -3.58 eV per atom



Number 1: N(E_F) 13.481 states/eV/cell, M_tot 0.0 μB per formula unit. Number 2: N(E_F) 3.217 states/eV/cell, M_tot 2.0 μB per formula unit. Number 3: N(E_F) 0.800 states/eV/cell, M_tot 0.0 μB per formula unit. Number 4: N(E_F) 2.183 states/eV/cell, M_tot 0.5 μB per formula unit. Number 5: N(E_F) 3.674 states/eV/cell, M_tot 0.1 μB per formula unit. Number 6: N(E_F) 3.429 states/eV/cell, M_tot 0.0 μB per formula unit.